(1)
VASP calculation (PBE-GGA) on an optimized crystal structure of Sc2AlHg.

Output
E_form   -277 meV/atom
Space group   I-4m2
Magnetization   0.00 μB/f.u.

abc: 5.6725 5.6725 5.6725
angles: 136.89 136.89 62.61
Closest atoms and distances in Å follow each position.
Sites, in units of the cell vectors:
Sc  0.0000  0.0000  0.0000  4 Al 2.95, 4 Hg 3.20, 4 Sc 3.20
Sc  0.2500  0.7500  0.5000  4 Hg 2.95, 4 Sc 3.20, 4 Al 3.20
Hg  0.7500  0.2500  0.5000  8 Sc 2.95-3.20, 4 Al 3.20
Al  0.5000  0.5000  0.0000  8 Sc 2.95-3.20, 4 Hg 3.20

(2)
VASP calculation (PBE-GGA) on an optimized crystal structure of Sc2AlHg.

Output
E_form   -408 meV/atom
Space group   Pmm2
Magnetization   0.00 μB/f.u.

abc: 4.9351 3.3552 5.0103
angles: 90.01 90.00 90.00
Closest atoms and distances in Å follow each position.
Sites, in units of the cell vectors:
Sc  0.0000  0.1252  0.9093  4 Al 3.00-3.03, 4 Hg 3.01, 4 Sc 3.31-3.36
Sc  0.5000  0.1249  0.3493  4 Hg 2.95-3.08, 4 Al 3.00
Hg  0.5000  0.6251  0.8346  8 Sc 2.95-3.08, 2 Al 3.27
Al  0.0000  0.6249  0.4068  8 Sc 3.00-3.03, 2 Hg 3.27, 2 Al 3.36